1.
DFT (GGA-PBE) results for a relaxed structure of CoGe2As.

The structure in extended XYZ format:
```
16
Lattice="5.591 0.000 0.000 0.000 5.591 0.000 0.000 0.000 10.903" Properties=species:S:1:pos:R:3 pbc="T T T"
Co 0.000 0.000 0.000
Co 0.000 2.796 2.726
Co 2.796 0.000 8.177
Co 2.796 2.796 5.452
Ge 1.178 1.398 1.363
Ge 1.398 3.973 4.089
Ge 1.398 4.414 9.540
Ge 1.618 1.398 6.814
Ge 3.973 4.194 6.814
Ge 4.194 1.178 9.540
Ge 4.194 1.618 4.089
Ge 4.414 4.194 1.363
As 0.000 0.000 5.452
As 0.000 2.796 8.177
As 2.796 0.000 2.726
As 2.796 2.796 0.000
```

Space-group type: I-42d (122)
DOS at the Fermi energy (states/eV per atom): 0.706
Energy of formation from the pure elements (eV/f.u.): 0.90
Raw total energy (eV per atom): -5.022
Magnetization (μB per formula unit): 0.00

2.
DFT (GGA-PBE) results for a relaxed structure of KFePt2.

The structure in extended XYZ format:
```
16
Lattice="6.609 0.000 0.000 0.000 6.609 0.000 0.000 0.000 6.609" Properties=species:S:1:pos:R:3 pbc="T T T"
K 0.000 0.000 0.000
K 0.000 3.304 3.304
K 3.304 0.000 3.304
K 3.304 3.304 0.000
Fe 1.652 1.652 4.956
Fe 1.652 4.956 1.652
Fe 4.956 1.652 1.652
Fe 4.956 4.956 4.956
Pt 0.000 0.000 3.304
Pt 0.000 3.304 0.000
Pt 1.652 1.652 1.652
Pt 1.652 4.956 4.956
Pt 3.304 0.000 0.000
Pt 3.304 3.304 3.304
Pt 4.956 1.652 4.956
Pt 4.956 4.956 1.652
```

Space-group type: F-43m (216)
DOS at the Fermi energy (states/eV per atom): 1.183
Energy of formation from the pure elements (eV/f.u.): 2.56
Raw total energy (eV per atom): -4.771
Magnetization (μB per formula unit): 3.69
E above lowest polymorph (eV per formula unit): 2.55